[1]
VASP calculation (PBE-GGA) on a geometry-optimized MgAl2Ge2 structure. Values from VASP.

Cell and atoms, written as Quantum ESPRESSO input:
```
&SYSTEM
  ibrav = 0, nat = 5, ntyp = 3
/
ATOMIC_SPECIES
Ge 72.64 Ge.upf
Al 26.98 Al.upf
Mg 24.30 Mg.upf
ATOMIC_POSITIONS angstrom
Ge -0.779 -5.350 1.631
Ge 1.640 -5.390 -0.387
Al -0.016 -3.394 0.048
Al 0.877 -7.347 1.196
Mg 0.000 0.000 0.000
CELL_PARAMETERS angstrom
-3.184 -2.893 1.159
1.654 -2.973 -2.877
2.390 -4.875 2.962
```

Size of the total moment: 0.000 Bohr magnetons per cell
Formation energy: 146 meV/atom

---

[2]
VASP calculation (PBE-GGA) on a geometry-optimized Ho6HgSe4 structure. Values from VASP.

Cell and atoms, written as Quantum ESPRESSO input:
```
&SYSTEM
  ibrav = 0, nat = 22, ntyp = 3
/
ATOMIC_SPECIES
Ho 164.93 Ho.upf
Hg 200.59 Hg.upf
Se 78.96 Se.upf
ATOMIC_POSITIONS angstrom
Ho 0.000 3.056 12.149
Ho 2.018 0.000 10.317
Ho 2.018 3.620 1.831
Ho 2.018 6.029 17.234
Ho 0.000 0.646 3.400
Ho 0.000 4.486 5.159
Ho 0.000 0.646 6.917
Ho 2.018 2.189 15.476
Ho 0.000 3.056 18.803
Ho 2.018 6.029 13.717
Ho 2.018 0.000 0.000
Ho 2.018 3.620 8.486
Hg 0.000 4.474 15.476
Hg 2.018 2.201 5.159
Se 2.018 4.817 19.829
Se 0.000 5.491 7.771
Se 0.000 1.858 0.806
Se 0.000 5.491 2.546
Se 2.018 1.185 12.864
Se 2.018 1.185 18.088
Se 0.000 1.858 9.511
Se 2.018 4.817 11.123
CELL_PARAMETERS angstrom
4.035 0.000 0.000
-2.018 6.675 0.000
0.000 0.000 20.635
```

Size of the total moment: 0.000 Bohr magnetons per cell
Formation energy from raw total energies: -1362 meV/atom

---

[3]
VASP calculation (PBE-GGA) on a geometry-optimized Zn5GaRh6 structure. Values from VASP.

Cell and atoms, written as Quantum ESPRESSO input:
```
&SYSTEM
  ibrav = 0, nat = 12, ntyp = 3
/
ATOMIC_SPECIES
Ga 69.72 Ga.upf
Zn 65.41 Zn.upf
Rh 102.91 Rh.upf
ATOMIC_POSITIONS angstrom
Ga 0.000 0.000 0.000
Zn -2.424 -0.286 1.818
Zn -1.692 -0.808 -2.382
Zn -6.510 -1.325 1.215
Zn -4.101 -1.066 -0.584
Zn -4.803 -0.490 3.577
Rh -5.822 -3.065 -0.618
Rh -2.376 0.922 -0.521
Rh -4.097 0.101 -2.944
Rh -4.789 0.674 1.249
Rh -6.485 -0.136 -1.140
Rh -4.126 -2.255 1.771
CELL_PARAMETERS angstrom
-3.090 2.639 1.300
-3.384 -1.615 -4.765
-4.138 -3.415 4.096
```

Size of the total moment: 0.000 Bohr magnetons per cell
Formation energy: -467 meV/atom

---

[4]
VASP calculation (PBE-GGA) on a geometry-optimized ZrC2O structure. Values from VASP.

Cell and atoms, written as Quantum ESPRESSO input:
```
&SYSTEM
  ibrav = 0, nat = 8, ntyp = 3
/
ATOMIC_SPECIES
O 16.00 O.upf
C 12.01 C.upf
Zr 91.22 Zr.upf
ATOMIC_POSITIONS angstrom
O 2.635 5.269 1.568
O 2.635 2.635 0.000
C 3.532 1.317 0.784
C 6.586 6.166 2.352
C 3.952 4.372 2.352
C 1.737 3.952 0.784
Zr 0.000 0.000 0.000
Zr 5.269 2.635 1.568
CELL_PARAMETERS angstrom
5.269 0.000 0.000
0.000 5.269 0.000
2.635 2.635 3.137
```

Size of the total moment: 0.000 Bohr magnetons per cell
Formation energy from raw total energies: 1212 meV/atom

---

[5]
VASP calculation (PBE-GGA) on a geometry-optimized CrTeBr2 structure. Values from VASP.

Cell and atoms, written as Quantum ESPRESSO input:
```
&SYSTEM
  ibrav = 0, nat = 4, ntyp = 3
/
ATOMIC_SPECIES
Cr 52.00 Cr.upf
Br 79.90 Br.upf
Te 127.60 Te.upf
ATOMIC_POSITIONS angstrom
Cr -4.167 -3.972 -5.310
Br -16.124 -15.368 -20.545
Br -8.880 -8.464 -11.315
Te -12.502 -11.916 -15.930
CELL_PARAMETERS angstrom
-4.393 -4.513 -8.579
-5.020 -7.061 -6.180
-7.256 -4.314 -6.481
```

ΔE to the lowest computed polymorph: 94 meV/atom
Size of the total moment: 3.611 Bohr magnetons per cell
Formation energy from raw total energies: -219 meV/atom

---

[6]
VASP calculation (PBE-GGA) on a geometry-optimized AcP3Pt6 structure. Values from VASP.

Cell and atoms, written as Quantum ESPRESSO input:
```
&SYSTEM
  ibrav = 0, nat = 10, ntyp = 3
/
ATOMIC_SPECIES
Pt 195.08 Pt.upf
P 30.97 P.upf
Ac 227.00 Ac.upf
ATOMIC_POSITIONS angstrom
Pt -1.493 3.763 0.876
Pt 1.096 2.557 -0.066
Pt 0.245 1.749 3.641
Pt 4.071 0.113 -0.758
Pt -1.567 4.899 3.450
Pt 2.666 2.083 2.221
P -0.991 3.219 4.954
P 0.845 0.582 1.577
P 2.800 1.929 -1.578
Ac 1.284 4.787 2.397
CELL_PARAMETERS angstrom
5.665 0.000 -3.036
-3.646 5.293 0.000
-0.228 -0.157 6.379
```

Size of the total moment: 0.000 Bohr magnetons per cell
Formation energy: -634 meV/atom

---

[7]
VASP calculation (PBE-GGA) on a geometry-optimized Tl2FeBr4 structure. Values from VASP.

Cell and atoms, written as Quantum ESPRESSO input:
```
&SYSTEM
  ibrav = 0, nat = 14, ntyp = 3
/
ATOMIC_SPECIES
Tl 204.38 Tl.upf
Br 79.90 Br.upf
Fe 55.84 Fe.upf
ATOMIC_POSITIONS angstrom
Tl 1.222 0.611 -2.624
Tl -2.288 -2.288 -4.807
Tl 0.214 -2.488 -8.653
Tl -3.295 -5.387 -10.836
Br 0.729 -0.829 -5.710
Br 3.842 -2.224 -3.856
Br -2.802 -3.947 -7.750
Br -5.916 -2.552 -9.604
Br -2.894 -0.069 -7.712
Br 0.821 -4.707 -5.748
Br -0.064 -5.778 -9.721
Br -2.010 1.002 -3.739
Fe 2.242 -2.773 -5.570
Fe -4.315 -2.003 -7.890
CELL_PARAMETERS angstrom
-0.408 4.758 -4.986
5.500 -3.677 -3.958
-7.165 -5.857 -4.516
```

Size of the total moment: 8.000 Bohr magnetons per cell
Formation energy from raw total energies: -650 meV/atom

---

[8]
VASP calculation (PBE-GGA) on a geometry-optimized RbLiTl2Ag structure. Values from VASP.

Cell and atoms, written as Quantum ESPRESSO input:
```
&SYSTEM
  ibrav = 0, nat = 5, ntyp = 4
/
ATOMIC_SPECIES
Tl 204.38 Tl.upf
Li 6.94 Li.upf
Rb 85.47 Rb.upf
Ag 107.87 Ag.upf
ATOMIC_POSITIONS angstrom
Tl 2.823 0.000 0.000
Tl 0.000 2.823 0.000
Li 0.000 0.000 2.673
Rb 2.823 2.823 2.673
Ag 0.000 0.000 0.000
CELL_PARAMETERS angstrom
5.646 0.000 0.000
0.000 5.646 0.000
0.000 0.000 5.346
```

Size of the total moment: 0.000 Bohr magnetons per cell
Formation energy: 50 meV/atom